No. 1
Below is an optimized crystal structure of CuMoAuN, with properties calculated at the PBE level.

Properties
Its energy above the most stable polymorph in this dataset is 0.0000 eV per atom. As for the symmetry: P1, No. 1. The density of states at the Fermi level is 0.55 states/eV/atom. The uncorrected energy comes out at -6.60 eV per atom. The calculation puts the magnetic moment at 0.00 μB/f.u. For the energy relative to the elements, uncorrected, the calculation gives 0.125 eV per formula unit.

```
CuMoAuN
1.0
2.8353 0.0000 0.0000
0.0000 2.8355 0.0000
-1.3938 -1.2629 6.6875
Cu Mo Au N
1 1 1 1
Cartesian
0.0000 0.0000 0.0000
1.4523 1.5964 2.5498
0.0270 0.1646 4.8216
0.0324 0.1684 1.9287
```

=====

No. 2
Below is an optimized crystal structure of CuMoAuN, with properties calculated at the PBE level.

Properties
Its energy above the most stable polymorph in this dataset is 0.0201 eV per atom. As for the symmetry: Amm2, No. 38. The density of states at the Fermi level is 0.74 states/eV/atom. The uncorrected energy comes out at -6.58 eV per atom. The calculation puts the magnetic moment at 0.00 μB/f.u. For the energy relative to the elements, uncorrected, the calculation gives 0.205 eV per formula unit.

```
CuMoAuN
1.0
2.7950 0.0000 0.0000
0.0000 1.4059 6.5632
0.0000 -1.4059 6.5632
Cu Mo Au N
1 1 1 1
Cartesian
0.0000 0.0000 0.0000
0.0000 0.0000 4.1220
1.3975 0.0000 8.4689
1.3975 0.0000 11.4979
```

=====

No. 3
Below is an optimized crystal structure of CuMoAuN, with properties calculated at the PBE level.

Properties
Its energy above the most stable polymorph in this dataset is 0.2498 eV per atom. As for the symmetry: Pmm2, No. 25. The density of states at the Fermi level is 0.77 states/eV/atom. The uncorrected energy comes out at -6.35 eV per atom. The calculation puts the magnetic moment at 0.00 μB/f.u. For the energy relative to the elements, uncorrected, the calculation gives 1.124 eV per formula unit.

```
CuMoAuN
1.0
3.8159 0.0000 0.0000
0.0000 3.9658 0.0000
0.0000 0.0000 4.0381
Cu Mo Au N
1 1 1 1
Cartesian
0.0000 0.0000 0.0000
1.9080 1.9829 0.0866
0.0000 1.9829 2.1025
1.9080 0.0000 0.2223
```